DFT (GGA-PBE) results for a relaxed structure of La4TeRhI2.

The value obtained for the uncorrected formation energy is -9.047 eV/f.u.

The space group is P2/m (No. 10) and the conventional cell measures 8.1179, 4.2813 and 8.1925 Å, with angles of 90.00, 106.66 and 90.00 degrees. The distinct sites, in fractional coordinates, are La at (0.1995, 0.0000, 0.1933), La at (0.2375, 0.5000, 0.7828), Te at (0.5000, 0.0000, 0.0000), Rh at (0.0000, 0.5000, 0.0000), I at (0.0000, 0.0000, 0.5000) and I at (0.5000, 0.5000, 0.5000).

DFT (GGA-PBE) results for a relaxed structure of LaTe2RhI.

The value obtained for the uncorrected formation energy is 1.761 eV/f.u. Its energy above the most stable polymorph in this dataset is 927 meV/atom.

The space group is P4/mmm (No. 123) and the conventional cell measures 6.1804, 6.1804 and 6.1425 Å, with angles of 90.00, 90.00 and 90.00 degrees. The distinct sites, in fractional coordinates, are La at (0.0000, 0.0000, 0.0000), Te at (0.0000, 0.5000, 0.0000), Rh at (0.5000, 0.5000, 0.5000) and I at (0.0000, 0.0000, 0.5000).

DFT (GGA-PBE) results for a relaxed structure of LaTeRhI2.

The value obtained for the uncorrected formation energy is 0.325 eV/f.u. Its energy above the most stable polymorph in this dataset is 576 meV/atom.

The space group is P4/mmm (No. 123) and the conventional cell measures 6.1980, 6.1980 and 6.2646 Å, with angles of 90.00, 90.00 and 90.00 degrees. The distinct sites, in fractional coordinates, are La at (0.0000, 0.0000, 0.0000), Te at (0.0000, 0.0000, 0.5000), Rh at (0.5000, 0.5000, 0.5000) and I at (0.0000, 0.5000, 0.0000).

DFT (GGA-PBE) results for a relaxed structure of LaTe2RhI.

The value obtained for the uncorrected formation energy is -2.872 eV/f.u. Its energy above the most stable polymorph in this dataset is 0 meV/atom.

The space group is P4/mmm (No. 123) and the conventional cell measures 5.3443, 5.3443 and 5.2240 Å, with angles of 90.00, 90.00 and 90.00 degrees. The distinct sites, in fractional coordinates, are La at (0.0000, 0.0000, 0.0000), Te at (0.0000, 0.5000, 0.5000), Rh at (0.5000, 0.5000, 0.5000) and I at (0.5000, 0.5000, 0.0000).

DFT (GGA-PBE) results for a relaxed structure of LaYRhI.

The value obtained for the uncorrected formation energy is -3.923 eV/f.u.

The space group is R3m (No. 160, hexagonal axes) and the conventional cell measures 4.1453, 4.1453 and 24.4556 Å, with angles of 90.00, 90.00 and 120.00 degrees. The distinct sites, in fractional coordinates, are La at (0.0000, 0.0000, 0.0000), Y at (0.0000, 0.0000, 0.7890), Rh at (0.0000, 0.0000, 0.3956) and I at (0.0000, 0.0000, 0.2215).

DFT (GGA-PBE) results for a relaxed structure of La2ZnRhI.

The value obtained for the uncorrected formation energy is -3.300 eV/f.u.

The space group is P4/mmm (No. 123) and the conventional cell measures 5.5078, 5.5078 and 4.9620 Å, with angles of 90.00, 90.00 and 90.00 degrees. The distinct sites, in fractional coordinates, are La at (0.0000, 0.5000, 0.0000), Zn at (0.0000, 0.0000, 0.5000), Rh at (0.0000, 0.0000, 0.0000) and I at (0.5000, 0.5000, 0.5000).

DFT (GGA-PBE) results for a relaxed structure of La8ZnRh3I4.

The value obtained for the uncorrected formation energy is -14.780 eV/f.u.

The space group is R-3m (No. 166, hexagonal axes) and the conventional cell measures 8.5978, 8.5978 and 24.7050 Å, with angles of 90.00, 90.00 and 120.00 degrees. The distinct sites, in fractional coordinates, are La at (0.0000, 0.0000, 0.2303), La at (0.0150, 0.5075, 0.7710), Zn at (0.0000, 0.0000, 0.5000), Rh at (0.0000, 0.5000, 0.5000), I at (0.0000, 0.0000, 0.0000) and I at (0.0000, 0.5000, 0.0000).

DFT (GGA-PBE) results for a relaxed structure of La2ZrRhI.

The value obtained for the uncorrected formation energy is 3.436 eV/f.u.

The space group is P4/mmm (No. 123) and the conventional cell measures 5.8304, 5.8304 and 5.1777 Å, with angles of 90.00, 90.00 and 90.00 degrees. The distinct sites, in fractional coordinates, are La at (0.0000, 0.5000, 0.0000), Zr at (0.0000, 0.0000, 0.5000), Rh at (0.5000, 0.5000, 0.5000) and I at (0.0000, 0.0000, 0.0000).

DFT (GGA-PBE) results for a relaxed structure of La4RuI5.

The value obtained for the uncorrected formation energy is -12.046 eV/f.u.

The space group is C2/m (No. 12) and the conventional cell measures 19.7996, 4.3807 and 9.4467 Å, with angles of 90.00, 103.68 and 90.00 degrees. The distinct sites, in fractional coordinates, are La at (0.9996, 0.0000, 0.2128), La at (0.1391, 0.5000, 0.0731), Ru at (0.0000, 0.5000, 0.0000), I at (0.0000, 0.5000, 0.5000), I at (0.1686, 0.0000, 0.3419) and I at (0.1737, 0.0000, 0.8311).

DFT (GGA-PBE) results for a relaxed structure of La4RuI.

The value obtained for the uncorrected formation energy is -2.444 eV/f.u.

The space group is C2/c (No. 15) and the conventional cell measures 9.1820, 15.6262 and 7.1152 Å, with angles of 90.00, 120.83 and 90.00 degrees. The distinct sites, in fractional coordinates, are La at (0.1930, 0.1997, 0.2096), La at (0.1997, 0.0645, 0.6998), Ru at (0.0000, 0.0780, 0.2500) and I at (0.0000, 0.4249, 0.7500).

DFT (GGA-PBE) results for a relaxed structure of La2RuI.

The value obtained for the uncorrected formation energy is -2.472 eV/f.u. Its energy above the most stable polymorph in this dataset is 151 meV/atom.

The space group is P4/mmm (No. 123) and the conventional cell measures 3.6309, 3.6309 and 8.5061 Å, with angles of 90.00, 90.00 and 90.00 degrees. The distinct sites, in fractional coordinates, are La at (0.0000, 0.0000, 0.2009), Ru at (0.5000, 0.5000, 0.0000) and I at (0.5000, 0.5000, 0.5000).

DFT (GGA-PBE) results for a relaxed structure of La2RuI.

The value obtained for the uncorrected formation energy is -1.811 eV/f.u. Its energy above the most stable polymorph in this dataset is 316 meV/atom.

The space group is I-42d (No. 122) and the conventional cell measures 7.8847, 7.8847 and 8.5956 Å, with angles of 90.00, 90.00 and 90.00 degrees. The distinct sites, in fractional coordinates, are La at (0.1767, 0.2500, 0.1250), Ru at (0.0000, 0.0000, 0.0000) and I at (0.0000, 0.0000, 0.5000).

DFT (GGA-PBE) results for a relaxed structure of La2RuI.

The value obtained for the uncorrected formation energy is -3.027 eV/f.u. Its energy above the most stable polymorph in this dataset is 12 meV/atom.

The space group is R3m (No. 160, hexagonal axes) and the conventional cell measures 4.1979, 4.1979 and 24.9259 Å, with angles of 90.00, 90.00 and 120.00 degrees. The distinct sites, in fractional coordinates, are La at (0.0000, 0.0000, 0.0000), La at (0.0000, 0.0000, 0.2105), Ru at (0.0000, 0.0000, 0.6063) and I at (0.0000, 0.0000, 0.4379).